# TmSbS (PBE, optimized geometry)
data_TmSbS
_cell_length_a 3.7228
_cell_length_b 3.7228
_cell_length_c 7.8362
_cell_angle_alpha 90.00
_cell_angle_beta 90.00
_cell_angle_gamma 120.00
_symmetry_space_group_name_H-M 'P 3 m 1'
_symmetry_Int_Tables_number 156
loop_
_symmetry_equiv_pos_as_xyz
'x,y,z'
'-y,x-y,z'
'-x+y,-x,z'
'-y,-x,z'
'-x+y,y,z'
'x,x-y,z'
loop_
_atom_site_label
_atom_site_fract_x
_atom_site_fract_y
_atom_site_fract_z
_atom_site_occupancy
Tm1 0.0000 0.0000 0.0000 1
Sb1 0.3333 0.6667 0.6657 1
S1 0.6667 0.3333 0.1742 1
# E_form (uncorrected) in eV per formula unit: -2.9
# Volume in A^3/atom: 31.35
# Spin magnetization in μB/f.u.: 0.00